Below is Ba2NiSe2O6 after structural relaxation, with properties calculated at the GGA+U level.

Mass density: 4.73 Mg/m³
Raw total energy: -5.32 eV/atom
Symmetry: C2/m

Structure (POSCAR):
```
Ba2NiSe2O6
1.0
6.4388 0.0000 0.0000
-3.2194 5.8888 0.4730
0.0000 -2.8686 5.2107
Ba Ni Se O
2 1 2 6
direct
0.6654 0.3308 0.1812
0.3346 0.6692 0.8188
0.5000 0.0000 0.5000
0.9979 0.9957 0.7259
0.0021 0.0043 0.2741
0.8384 0.6768 0.6414
0.2825 0.9626 0.2536
0.3200 0.0374 0.7464
0.7175 0.0374 0.7464
0.6800 0.9626 0.2536
0.1616 0.3232 0.3586
```